Record 1
DFT (PBE) results for crystalline PaCrSi2Ir at its relaxed geometry.

Cell lengths 4.0503, 4.0503, 5.7866 Å; angles 110.49, 110.49, 90.00 degrees
Each line ends with the local moment (μB).
Sites, in units of the cell vectors:
Cr 0.7500 0.2500 0.5000  2.21
Ir 0.2500 0.7500 0.5000  0.03
Pa 0.0000 0.0000 0.0000  0.10
Si 0.6176 0.6176 0.2352  -0.04
Si 0.3824 0.3824 0.7648  -0.04

Calculated values
Total energy in eV/atom: -8.489
Formation energy (no corrections) in eV per atom: -0.724



Record 2
DFT (PBE) results for crystalline Pa2CrSi3Ir4 at its relaxed geometry.

Cell lengths 4.0709, 4.0709, 10.1331 Å; angles 90.00, 90.00, 90.00 degrees
Sites, in units of the cell vectors:
Si 0.0000 0.0000 0.5000
Si 0.5000 0.0000 0.8673
Si 0.0000 0.5000 0.1327
Pa 0.5000 0.0000 0.2478
Pa 0.0000 0.5000 0.7522
Ir 0.5000 0.0000 0.6311
Ir 0.5000 0.5000 0.0000
Ir 0.0000 0.0000 0.0000
Ir 0.0000 0.5000 0.3689
Cr 0.5000 0.5000 0.5000

Calculated values
Total energy in eV/atom: -8.905
Formation energy (no corrections) in eV per atom: -0.872



Record 3
DFT (PBE) results for crystalline Cr2IrPb2 at its relaxed geometry.

Cell lengths 6.4898, 6.4898, 4.4245 Å; angles 90.00, 90.00, 90.00 degrees
Each line ends with the local moment (μB).
Sites, in units of the cell vectors:
Pb 0.3145 0.1855 0.5000  -0.02
Pb 0.8145 0.3145 0.5000  -0.02
Pb 0.6855 0.8145 0.5000  -0.02
Pb 0.1855 0.6855 0.5000  -0.02
Cr 0.1170 0.3830 0.0000  1.15
Cr 0.8830 0.6170 0.0000  1.15
Cr 0.6170 0.1170 0.0000  1.10
Cr 0.3830 0.8830 0.0000  1.10
Ir 0.0000 0.0000 0.0000  0.05
Ir 0.5000 0.5000 0.0000  0.05

Calculated values
Total energy in eV/atom: -6.459
E_form in kJ per mole of atoms: 62.3



Record 4
DFT (PBE) results for crystalline Cr2IrPb at its relaxed geometry.

Cell lengths 4.8148, 4.8148, 4.8148 Å; angles 129.50, 129.47, 74.23 degrees
Each line ends with the local moment (μB).
Sites, in units of the cell vectors:
Pb 0.2500 0.7500 0.5000  -0.09
Cr 0.5001 0.5001 0.0000  2.51
Cr 0.9999 0.9999 0.0000  2.51
Ir 0.7500 0.2500 0.5000  -0.04

Calculated values
Total energy in eV/atom: -7.466
E_form in kJ per mole of atoms: 47.1



Record 5
DFT (PBE) results for crystalline Cr3IrPb at its relaxed geometry.

Cell lengths 4.8101, 4.8101, 4.8101 Å; angles 90.00, 90.00, 90.00 degrees
Each line ends with the local moment (μB).
Sites, in units of the cell vectors:
Cr 0.0000 0.0000 0.5000  2.97
Cr 0.0000 0.5000 0.0000  3.28
Cr 0.5000 0.0000 0.0000  3.67
Ir 0.0000 0.0000 0.0000  -0.32
Pb 0.5000 0.5000 0.5000  -0.13

Calculated values
Total energy in eV/atom: -7.298
E_form in kJ per mole of atoms: 95.5



Record 6
DFT (PBE) results for crystalline Cr2IrPb at its relaxed geometry.

Cell lengths 4.1628, 4.1606, 3.8946 Å; angles 90.00, 90.00, 90.00 degrees
Each line ends with the local moment (μB).
Sites, in units of the cell vectors:
Pb 0.0000 0.5000 0.5000  -0.08
Ir 0.5000 0.0000 0.5000  0.22
Cr 0.0000 0.0000 0.0000  3.11
Cr 0.5000 0.5000 0.0000  3.11

Calculated values
Total energy in eV/atom: -7.476
E_form in kJ per mole of atoms: 46.1



Record 7
DFT (PBE) results for crystalline Cr2IrPb at its relaxed geometry.

Cell lengths 4.5228, 4.5228, 4.5228 Å; angles 60.00, 60.00, 60.00 degrees
Each line ends with the local moment (μB).
Sites, in units of the cell vectors:
Pb 0.7500 0.7500 0.7500  0.03
Ir 0.5000 0.5000 0.5000  0.21
Cr 0.2500 0.2500 0.2500  3.17
Cr 0.0000 0.0000 0.0000  -2.56

Calculated values
Total energy in eV/atom: -7.551
E_form in kJ per mole of atoms: 38.9



Record 8
DFT (PBE) results for crystalline Cr4IrPb at its relaxed geometry.

Cell lengths 4.9059, 4.9059, 4.9059 Å; angles 60.00, 60.00, 60.00 degrees
Sites, in units of the cell vectors:
Pb 0.0000 0.0000 0.0000
Cr 0.1208 0.6264 0.6264
Cr 0.6264 0.6264 0.6264
Cr 0.6264 0.1208 0.6264
Cr 0.6264 0.6264 0.1208
Ir 0.2500 0.2500 0.2500

Calculated values
Total energy in eV/atom: -8.096
E_form in kJ per mole of atoms: 40.0



Record 9
DFT (PBE) results for crystalline Cr2IrPb at its relaxed geometry.

Cell lengths 9.0352, 9.0352, 9.0352 Å; angles 19.37, 19.37, 19.37 degrees
Each line ends with the local moment (μB).
Sites, in units of the cell vectors:
Cr 0.5099 0.5099 0.5099  2.92
Cr 0.9901 0.9901 0.9901  2.92
Ir 0.2500 0.2500 0.2500  0.12
Pb 0.7500 0.7500 0.7500  -0.03

Calculated values
Total energy in eV/atom: -7.323
E_form in kJ per mole of atoms: 60.9



Record 10
DFT (PBE) results for crystalline Cr2IrPb at its relaxed geometry.

Cell lengths 4.9028, 4.9028, 4.9025 Å; angles 131.64, 131.63, 70.82 degrees
Each line ends with the local moment (μB).
Sites, in units of the cell vectors:
Pb 0.2500 0.7500 0.5000  -0.08
Cr 0.0000 0.0000 0.0000  2.72
Cr 0.7499 0.2499 0.5000  2.11
Ir 0.5000 0.5000 0.0000  0.10

Calculated values
Total energy in eV/atom: -7.458
E_form in kJ per mole of atoms: 47.9



Record 11
DFT (PBE) results for crystalline Cr2IrPb at its relaxed geometry.

Cell lengths 3.9717, 2.8462, 6.5108 Å; angles 64.19, 90.00, 90.00 degrees
Sites, in units of the cell vectors:
Cr 0.0000 0.9259 0.0736
Cr 0.0000 0.5741 0.4264
Ir 0.5000 0.2500 0.2500
Pb 0.5000 0.7500 0.7500

Calculated values
Total energy in eV/atom: -7.494
E_form in kJ per mole of atoms: 44.4



Record 12
DFT (PBE) results for crystalline Cr2IrPb at its relaxed geometry.

Cell lengths 4.7457, 4.7457, 4.9426 Å; angles 78.65, 78.65, 36.10 degrees
Each line ends with the local moment (μB).
Sites, in units of the cell vectors:
Ir 0.5160 0.5160 0.4463  -0.01
Pb 0.7486 0.7486 0.7588  -0.03
Cr 0.9824 0.9824 0.0437  1.64
Cr 0.2531 0.2531 0.2511  1.30

Calculated values
Total energy in eV/atom: -7.451
E_form in kJ per mole of atoms: 48.5



Record 13
DFT (PBE) results for crystalline CrIr3Pb at its relaxed geometry.

Cell lengths 4.5893, 4.5893, 4.5893 Å; angles 90.00, 90.00, 90.00 degrees
Sites, in units of the cell vectors:
Ir 0.5000 0.0000 0.0000
Ir 0.0000 0.5000 0.0000
Ir 0.0000 0.0000 0.5000
Cr 0.0000 0.0000 0.0000
Pb 0.5000 0.5000 0.5000

Calculated values
Total energy in eV/atom: -6.917
E_form in kJ per mole of atoms: 102.9



Record 14
DFT (PBE) results for crystalline Cr2IrPb at its relaxed geometry.

Cell lengths 7.2302, 7.2302, 5.8860 Å; angles 52.11, 52.11, 90.00 degrees
Each line ends with the local moment (μB).
Sites, in units of the cell vectors:
Cr 0.3750 0.4181 0.7500  2.97
Cr 0.1681 0.6250 0.2500  2.97
Cr 0.5819 0.1250 0.2500  2.94
Cr 0.8750 0.8319 0.7500  3.00
Ir 0.2500 0.7500 0.5000  -0.23
Ir 0.5000 0.5000 0.0000  -0.21
Pb 0.7500 0.2500 0.5000  -0.06
Pb 0.0000 0.0000 0.0000  -0.06

Calculated values
Total energy in eV/atom: -7.179
E_form in kJ per mole of atoms: 74.7



Record 15
DFT (PBE) results for crystalline Cr3IrPb at its relaxed geometry.

Cell lengths 4.6749, 4.6749, 4.6749 Å; angles 90.00, 90.00, 90.00 degrees
Sites, in units of the cell vectors:
Ir 0.5000 0.5000 0.5000
Pb 0.0000 0.0000 0.0000
Cr 0.0000 0.0000 0.5000
Cr 0.0000 0.5000 0.0000
Cr 0.5000 0.0000 0.0000

Calculated values
Total energy in eV/atom: -5.500
E_form in kJ per mole of atoms: 269.0



Record 16
DFT (PBE) results for crystalline Cr2IrPb at its relaxed geometry.

Cell lengths 3.0511, 3.0511, 7.4065 Å; angles 90.00, 90.00, 90.00 degrees
Each line ends with the local moment (μB).
Sites, in units of the cell vectors:
Ir 0.0000 0.0000 0.4419  0.05
Cr 0.0000 0.0000 0.0593  2.98
Cr 0.5000 0.5000 0.2538  -1.95
Pb 0.5000 0.5000 0.7450  -0.01

Calculated values
Total energy in eV/atom: -7.549
E_form in kJ per mole of atoms: 39.1



Record 17
DFT (PBE) results for crystalline Cr2IrPb at its relaxed geometry.

Cell lengths 4.7711, 4.7711, 2.9946 Å; angles 90.00, 90.00, 104.70 degrees
Each line ends with the local moment (μB).
Sites, in units of the cell vectors:
Cr 0.5000 0.5000 0.0000  2.78
Cr 0.0000 0.0000 0.0000  2.78
Pb 0.0000 0.5000 0.5000  -0.09
Ir 0.5000 0.0000 0.5000  0.05

Calculated values
Total energy in eV/atom: -7.448
E_form in kJ per mole of atoms: 48.9



Record 18
DFT (PBE) results for crystalline Cr2IrPb at its relaxed geometry.

Cell lengths 3.0173, 3.7349, 5.9560 Å; angles 90.00, 90.00, 90.00 degrees
Each line ends with the local moment (μB).
Sites, in units of the cell vectors:
Cr 0.0000 0.0000 0.0356  2.94
Cr 0.5000 0.5000 0.2460  -2.75
Pb 0.5000 0.5000 0.7468  -0.02
Ir 0.0000 0.0000 0.4715  0.11

Calculated values
Total energy in eV/atom: -7.534
E_form in kJ per mole of atoms: 40.6



Record 19
DFT (PBE) results for crystalline Cr2IrPb2 at its relaxed geometry.

Cell lengths 4.1131, 4.1131, 6.6439 Å; angles 71.97, 71.97, 90.00 degrees
Sites, in units of the cell vectors:
Cr 0.4245 0.4245 0.1509
Cr 0.5755 0.5755 0.8491
Ir 0.0000 0.0000 0.0000
Pb 0.7500 0.2500 0.5000
Pb 0.2500 0.7500 0.5000

Calculated values
Total energy in eV/atom: -5.913
E_form in kJ per mole of atoms: 115.0



Record 20
DFT (PBE) results for crystalline Cr2IrPb at its relaxed geometry.

Cell lengths 4.7628, 4.7628, 5.2561 Å; angles 76.86, 76.86, 36.13 degrees
Sites, in units of the cell vectors:
Cr 0.5091 0.5091 0.4022
Cr 0.9909 0.9909 0.0978
Pb 0.7500 0.7500 0.7500
Ir 0.2500 0.2500 0.2500

Calculated values
Total energy in eV/atom: -7.482
E_form in kJ per mole of atoms: 45.5



Record 21
DFT (PBE) results for crystalline CrIrPb4 at its relaxed geometry.

Cell lengths 6.1796, 6.1796, 6.1796 Å; angles 60.00, 60.00, 60.00 degrees
Each line ends with the local moment (μB).
Sites, in units of the cell vectors:
Ir 0.0000 0.0000 0.0000  0.20
Pb 0.8768 0.3744 0.3744  -0.01
Pb 0.3744 0.3744 0.8768  -0.01
Pb 0.3744 0.3744 0.3744  -0.01
Pb 0.3744 0.8768 0.3744  -0.01
Cr 0.7500 0.7500 0.7500  4.11

Calculated values
Total energy in eV/atom: -4.498
E_form in kJ per mole of atoms: 101.8



Record 22
DFT (PBE) results for crystalline Cr2IrPb at its relaxed geometry.

Cell lengths 3.0746, 3.0745, 7.5639 Å; angles 90.00, 90.00, 90.00 degrees
Each line ends with the local moment (μB).
Sites, in units of the cell vectors:
Cr 0.0000 0.0000 0.0476  3.11
Cr 0.0000 0.0000 0.4524  3.11
Pb 0.5000 0.5000 0.7500  -0.07
Ir 0.5000 0.5000 0.2500  0.07

Calculated values
Total energy in eV/atom: -7.538
E_form in kJ per mole of atoms: 40.1



Record 23
DFT (PBE) results for crystalline CrIrPb3 at its relaxed geometry.

Cell lengths 5.3153, 5.3153, 5.3153 Å; angles 90.00, 90.00, 90.00 degrees
Each line ends with the local moment (μB).
Sites, in units of the cell vectors:
Pb 0.0000 0.0000 0.5000  -0.10
Pb 0.5000 0.0000 0.0000  -0.03
Pb 0.0000 0.5000 0.0000  -0.05
Cr 0.5000 0.5000 0.5000  4.14
Ir 0.0000 0.0000 0.0000  -0.26

Calculated values
Total energy in eV/atom: -5.175
E_form in kJ per mole of atoms: 72.0



Record 24
DFT (PBE) results for crystalline CrIrRh2Pb at its relaxed geometry.

Cell lengths 4.5503, 4.5688, 4.5503 Å; angles 90.00, 90.00, 90.00 degrees
Sites, in units of the cell vectors:
Ir 0.0000 0.5000 0.0000
Rh 0.5000 0.0000 0.0000
Rh 0.0000 0.0000 0.5000
Cr 0.0000 0.0000 0.0000
Pb 0.5000 0.5000 0.5000

Calculated values
Total energy in eV/atom: -6.609
E_form in kJ per mole of atoms: 74.3



Record 25
DFT (PBE) results for crystalline CrIrPd3 at its relaxed geometry.

Cell lengths 4.4612, 4.4612, 4.4612 Å; angles 90.00, 90.00, 90.00 degrees
Sites, in units of the cell vectors:
Ir 0.5000 0.5000 0.5000
Pd 0.0000 0.5000 0.0000
Pd 0.5000 0.0000 0.0000
Pd 0.0000 0.0000 0.5000
Cr 0.0000 0.0000 0.0000

Calculated values
Total energy in eV/atom: -5.497
E_form in kJ per mole of atoms: 127.0



Record 26
DFT (PBE) results for crystalline CrIrPd2 at its relaxed geometry.

Cell lengths 6.9959, 6.9959, 5.6002 Å; angles 51.35, 51.35, 90.00 degrees
Each line ends with the local moment (μB).
Sites, in units of the cell vectors:
Cr 0.2500 0.7500 0.5000  2.92
Cr 0.5000 0.5000 0.0000  2.92
Ir 0.0000 0.0000 0.0000  -0.15
Ir 0.7500 0.2500 0.5000  -0.15
Pd 0.1359 0.6250 0.2500  -0.04
Pd 0.8750 0.8641 0.7500  -0.04
Pd 0.6141 0.1250 0.2500  -0.04
Pd 0.3750 0.3859 0.7500  -0.04

Calculated values
Total energy in eV/atom: -6.700
E_form in kJ per mole of atoms: 49.9



Record 27
DFT (PBE) results for crystalline Cr2IrPd2 at its relaxed geometry.

Cell lengths 6.0797, 6.0797, 3.9537 Å; angles 90.00, 90.00, 90.00 degrees
Each line ends with the local moment (μB).
Sites, in units of the cell vectors:
Ir 0.0000 0.0000 0.0000  0.04
Ir 0.5000 0.5000 0.0000  0.04
Pd 0.6813 0.8187 0.5000  0.04
Pd 0.1813 0.6813 0.5000  0.04
Pd 0.3187 0.1813 0.5000  0.04
Pd 0.8187 0.3187 0.5000  0.04
Cr 0.3863 0.8863 0.0000  0.52
Cr 0.6137 0.1137 0.0000  0.52
Cr 0.1137 0.3863 0.0000  0.46
Cr 0.8863 0.6137 0.0000  0.46

Calculated values
Total energy in eV/atom: -7.409
E_form in kJ per mole of atoms: 27.9



Record 28
DFT (PBE) results for crystalline Cr2Ir2Pd at its relaxed geometry.

Cell lengths 7.2393, 7.2393, 2.6921 Å; angles 90.00, 90.00, 90.00 degrees
Sites, in units of the cell vectors:
Cr 0.6188 0.1188 0.0000
Cr 0.3812 0.8812 0.0000
Cr 0.1188 0.3812 0.0000
Cr 0.8812 0.6188 0.0000
Ir 0.8305 0.3305 0.5000
Ir 0.6695 0.8305 0.5000
Ir 0.3305 0.1695 0.5000
Ir 0.1695 0.6695 0.5000
Pd 0.5000 0.5000 0.0000
Pd 0.0000 0.0000 0.0000

Calculated values
Total energy in eV/atom: -8.442
E_form in kJ per mole of atoms: -0.9